Compound: Mg2Ti3NiS8
Source: the Alexandria database
Functional: PBE
Structure: optimized geometry

Cell and atoms, written as extended XYZ:
```
14
Lattice="3.595 2.076 6.045 -3.595 2.076 6.045 0.000 -4.152 6.045" Properties=species:S:1:pos:R:3 pbc="T T T"
Mg 0.000 0.000 2.213
Mg 0.000 0.000 15.922
Ti -1.798 -1.038 6.045
Ti -1.798 1.038 12.090
Ti 0.000 2.076 6.045
Ni 0.000 0.000 9.067
S 0.000 0.000 4.664
S 0.000 -1.861 7.502
S -1.611 0.930 7.502
S -1.611 -0.930 10.632
S 1.611 0.930 7.502
S 1.611 -0.930 10.632
S 0.000 1.861 10.632
S 0.000 0.000 13.471
```

Output
Magnetic moment: 0.69 μB per formula unit
Raw total energy: -5.828 eV per atom
Formation energy from raw total energies: -1.14 eV/atom
Calculated volume: 19.336 A^3/atom

Compound: Mg2VNi3S8
Source: the Alexandria database
Functional: PBE
Structure: optimized geometry

Cell and atoms, written as extended XYZ:
```
14
Lattice="3.536 2.042 5.759 -3.536 2.042 5.759 0.000 -4.083 5.759" Properties=species:S:1:pos:R:3 pbc="T T T"
Mg 0.000 0.000 2.174
Mg 0.000 0.000 15.102
V 0.000 0.000 8.638
Ni -1.768 -1.021 5.759
Ni -1.768 1.021 11.518
Ni 0.000 2.042 5.759
S 0.000 -1.811 7.068
S -1.568 0.905 7.068
S 0.000 0.000 4.618
S -1.568 -0.905 10.209
S 1.568 0.905 7.068
S 0.000 0.000 12.659
S 1.568 -0.905 10.209
S 0.000 1.811 10.209
```

Output
Magnetic moment: 1.40 μB per formula unit
Raw total energy: -5.079 eV per atom
Formation energy from raw total energies: -0.60 eV/atom
Calculated volume: 17.820 A^3/atom

Compound: Mg2V3NiS8
Source: the Alexandria database
Functional: PBE
Structure: optimized geometry

Cell and atoms, written as extended XYZ:
```
14
Lattice="3.558 2.054 5.967 -3.558 2.054 5.967 0.000 -4.109 5.967" Properties=species:S:1:pos:R:3 pbc="T T T"
Mg 0.000 0.000 2.229
Mg 0.000 0.000 15.671
V -1.779 -1.027 5.967
V -1.779 1.027 11.933
V 0.000 2.054 5.967
Ni 0.000 0.000 8.950
S 0.000 0.000 4.663
S 0.000 -1.815 7.424
S -1.572 0.907 7.424
S -1.572 -0.907 10.476
S 1.572 0.907 7.424
S 1.572 -0.907 10.476
S 0.000 1.815 10.476
S 0.000 0.000 13.237
```

Output
Magnetic moment: 5.02 μB per formula unit
Raw total energy: -5.809 eV per atom
Formation energy from raw total energies: -0.86 eV/atom
Calculated volume: 18.691 A^3/atom